#1
A relaxed Os2Au2S crystal. Source: Alexandria, functional PBE.

abc: 3.7494 3.7494 6.9582
angles: 74.37 74.37 90.00
Atoms (fractional coordinates):
Os 0.4116 0.4116 0.1767
Os 0.5884 0.5884 0.8233
S 0.0000 0.0000 0.0000
Au 0.7500 0.2500 0.5000
Au 0.2500 0.7500 0.5000

DOS(E_F) = 0.464 states/eV/atom
Crystal system = tetragonal
Magnetization = 0.0 μB per cell

---

#2
A relaxed Os2Au2S crystal. Source: Alexandria, functional PBE.

abc: 5.9185 5.9185 4.7849
angles: 90.00 90.00 90.00
Atoms (fractional coordinates):
Os 0.3489 0.8489 0.0000
Os 0.8489 0.6511 0.0000
Os 0.6511 0.1511 0.0000
Os 0.1511 0.3489 0.0000
S 0.0000 0.0000 0.0000
S 0.5000 0.5000 0.0000
Au 0.1682 0.6682 0.5000
Au 0.6682 0.8318 0.5000
Au 0.8318 0.3318 0.5000
Au 0.3318 0.1682 0.5000

DOS(E_F) = 0.784 states/eV/atom
Crystal system = tetragonal
Magnetization = 0.0 μB per cell

---

The most stable of them is #2.

---

#1
A relaxed OsAu3S crystal. Source: Alexandria, functional PBE.

abc: 4.6361 4.6361 4.6361
angles: 90.00 90.00 90.00
Site moments in Bohr magnetons follow the coordinates.
Atoms (fractional coordinates):
Os 0.5000 0.5000 0.5000  1.62
S 0.0000 0.0000 0.0000  0.00
Au 0.0000 0.5000 0.0000  -0.04
Au 0.0000 0.0000 0.5000  -0.04
Au 0.5000 0.0000 0.0000  -0.01

DOS(E_F) = 0.603 states/eV/atom
Crystal system = cubic
Magnetization = 1.6 μB per cell

---

#2
A relaxed OsAu3S crystal. Source: Alexandria, functional PBE.

abc: 5.0002 5.0002 5.0002
angles: 90.00 90.00 90.00
Atoms (fractional coordinates):
Os 0.0000 0.0000 0.0000
S 0.5000 0.5000 0.5000
Au 0.0000 0.5000 0.0000
Au 0.0000 0.0000 0.5000
Au 0.5000 0.0000 0.0000

DOS(E_F) = 1.712 states/eV/atom
Crystal system = cubic
Magnetization = 0.0 μB per cell

---

The most stable of them is #1.